The following is a SCAN calculation of a crystal of IrPdI2 relaxed with PBEsol, from Alexandria.

Unit cell a=6.1373 b=6.1373 c=7.1519 alpha=115.41 beta=115.41 gamma=90.00
Positions (direct):
1 I 0.1250 0.1131 0.7500
2 I 0.3631 0.8750 0.2500
3 I 0.6250 0.6369 0.7500
4 I 0.8869 0.3750 0.2500
5 Pd 0.7500 0.2500 0.5000
6 Pd 0.5000 0.5000 0.0000
7 Ir 0.2500 0.7500 0.5000
8 Ir 0.0000 0.0000 0.0000

Results
**ρ**: 8.57 g/cm3
**Electronic total energy**: -43.7861 eV/atom

The following is a SCAN calculation of a crystal of BiH2Se relaxed with PBEsol, from Alexandria.

Unit cell a=4.2994 b=4.2994 c=7.3819 alpha=106.93 beta=106.93 gamma=90.00
Positions (direct):
1 Bi 0.2500 0.7500 0.5000
2 Bi 0.0000 0.0000 0.0000
3 Se 0.7500 0.2500 0.5000
4 Se 0.5000 0.5000 0.0000
5 H 0.9632 0.3750 0.2500
6 H 0.6250 0.7132 0.7500
7 H 0.2868 0.8750 0.2500
8 H 0.1250 0.0368 0.7500

Results
**ρ**: 7.74 g/cm3
**Electronic total energy**: -25.8248 eV/atom